Here is a relaxed Li3Y3SbS8 crystal from Alexandria. Energies are from PBE-GGA.

## Properties
- ΔE_f (raw): -145 kJ per mole of atoms

Structure (CIF):
```
data_Li3Y3SbS8
_space_group_name_H-M_alt 'R -3 m'
_space_group_IT_number 166
_space_group_name_Hall '-R 3 2"'
_cell_length_a 7.8212
_cell_length_b 7.8212
_cell_length_c 18.5159
_cell_angle_alpha 90.00
_cell_angle_beta 90.00
_cell_angle_gamma 120.00
loop_
_atom_site_label
_atom_site_fract_x
_atom_site_fract_y
_atom_site_fract_z
_atom_site_occupancy
Li1 0.0000 0.5000 0.0000 1
Y1 0.0000 0.5000 0.5000 1
Sb1 0.0000 0.0000 0.5000 1
S1 0.0000 0.0000 0.2498 1
S2 0.0138 0.5069 0.2481 1
```



Here is a relaxed Li2YSbS crystal from Alexandria. Energies are from PBE-GGA.

## Properties
- ΔE_f (raw): -111 kJ per mole of atoms

Structure (CIF):
```
data_Li2YSbS
_space_group_name_H-M_alt 'P 4/m m m'
_space_group_IT_number 123
_space_group_name_Hall '-P 4 2'
_cell_length_a 4.559
_cell_length_b 4.559
_cell_length_c 5.410
_cell_angle_alpha 90.00
_cell_angle_beta 90.00
_cell_angle_gamma 90.00
loop_
_atom_site_label
_atom_site_fract_x
_atom_site_fract_y
_atom_site_fract_z
_atom_site_occupancy
Li1 0.000 0.500 0.000 1
Y1 0.000 0.000 0.500 1
Sb1 0.500 0.500 0.500 1
S1 0.000 0.000 0.000 1
```



Here is a relaxed LiZn2SbS4 crystal from Alexandria. Energies are from PBE-GGA.

## Properties
- ΔE_f (raw): -61 kJ per mole of atoms

Structure (CIF):
```
data_LiZn2SbS4
_space_group_name_H-M_alt 'I -4 2 m'
_space_group_IT_number 121
_space_group_name_Hall 'I -4 2'
_cell_length_a 5.596
_cell_length_b 5.596
_cell_length_c 11.677
_cell_angle_alpha 90.00
_cell_angle_beta 90.00
_cell_angle_gamma 90.00
loop_
_atom_site_label
_atom_site_fract_x
_atom_site_fract_y
_atom_site_fract_z
_atom_site_occupancy
Li1 0.000 0.000 0.000 1
Zn1 0.000 0.500 0.250 1
Sb1 0.000 0.000 0.500 1
S1 0.231 0.231 0.137 1
```



Here is a relaxed Li2ZnSbS4 crystal from Alexandria. Energies are from PBE-GGA.

## Properties
- ΔE_f (raw): -69 kJ per mole of atoms

Structure (CIF):
```
data_Li2ZnSbS4
_space_group_name_H-M_alt 'I -4'
_space_group_IT_number 82
_cell_length_a 5.688
_cell_length_b 5.688
_cell_length_c 11.140
_cell_angle_alpha 90.00
_cell_angle_beta 90.00
_cell_angle_gamma 90.00
loop_
_space_group_symop_operation_xyz
'x,y,z'
'y,-x,-z'
'-x,-y,z'
'-y,x,-z'
'x+1/2,y+1/2,z+1/2'
'y+1/2,-x+1/2,-z+1/2'
'-x+1/2,-y+1/2,z+1/2'
'-y+1/2,x+1/2,-z+1/2'
loop_
_atom_site_label
_atom_site_fract_x
_atom_site_fract_y
_atom_site_fract_z
_atom_site_occupancy
Li1 0.000 0.000 0.000 1
Li2 0.000 0.500 0.250 1
Zn1 0.000 0.000 0.500 1
Sb1 0.000 0.500 0.750 1
S1 0.236 0.750 0.381 1
```



Here is a relaxed LiZrSbS4 crystal from Alexandria. Energies are from PBE-GGA.

## Properties
- ΔE_f (raw): -102 kJ per mole of atoms

Structure (CIF):
```
data_LiZrSbS4
_space_group_name_H-M_alt 'I m m a'
_space_group_IT_number 74
_space_group_name_Hall '-I 2b 2'
_cell_length_a 7.542
_cell_length_b 7.782
_cell_length_c 11.165
_cell_angle_alpha 90.00
_cell_angle_beta 90.00
_cell_angle_gamma 90.00
loop_
_atom_site_label
_atom_site_fract_x
_atom_site_fract_y
_atom_site_fract_z
_atom_site_occupancy
Li1 0.000 0.250 0.127 1
Zr1 0.250 0.250 0.750 1
Sb1 0.000 0.000 0.500 1
S1 0.000 0.019 0.743 1
S2 0.248 0.250 0.980 1
```



Here is a relaxed LiSc6S8 crystal from Alexandria. Energies are from PBE-GGA.

## Properties
- ΔE_f (raw): -165 kJ per mole of atoms

Structure (CIF):
```
data_LiSc6S8
_space_group_name_H-M_alt 'R -3'
_space_group_IT_number 148
_space_group_name_Hall '-R 3'
_cell_length_a 10.8457
_cell_length_b 10.8457
_cell_length_c 10.8407
_cell_angle_alpha 90.00
_cell_angle_beta 90.00
_cell_angle_gamma 120.00
loop_
_atom_site_label
_atom_site_fract_x
_atom_site_fract_y
_atom_site_fract_z
_atom_site_occupancy
Li1 0.0000 0.0000 0.0000 1
Sc1 0.0064 0.8231 0.3697 1
S1 0.0000 0.0000 0.2194 1
S2 0.0141 0.7405 0.5923 1
```



Here is a relaxed Li3ScS3 crystal from Alexandria. Energies are from PBE-GGA.

## Properties
- ΔE_f (raw): -149 kJ per mole of atoms

Structure (CIF):
```
data_Li3ScS3
_space_group_name_H-M_alt 'R -3'
_space_group_IT_number 148
_space_group_name_Hall '-R 3'
_cell_length_a 6.8294
_cell_length_b 6.8294
_cell_length_c 18.5562
_cell_angle_alpha 90.00
_cell_angle_beta 90.00
_cell_angle_gamma 120.00
loop_
_atom_site_label
_atom_site_fract_x
_atom_site_fract_y
_atom_site_fract_z
_atom_site_occupancy
Li1 0.0104 0.7112 0.1185 1
Sc1 0.0000 0.0000 0.3333 1
S1 0.0056 0.6335 0.9201 1
```



Here is a relaxed LiSc2S2 crystal from Alexandria. Energies are from PBE-GGA.

## Properties
- ΔE_f (raw): -135 kJ per mole of atoms

Structure (CIF):
```
data_LiSc2S2
_space_group_name_H-M_alt 'P 4/m b m'
_space_group_IT_number 127
_space_group_name_Hall '-P 4 2ab'
_cell_length_a 6.937
_cell_length_b 6.937
_cell_length_c 3.472
_cell_angle_alpha 90.00
_cell_angle_beta 90.00
_cell_angle_gamma 90.00
loop_
_atom_site_label
_atom_site_fract_x
_atom_site_fract_y
_atom_site_fract_z
_atom_site_occupancy
Li1 0.000 0.000 0.000 1
Sc1 0.151 0.349 0.500 1
S1 0.153 0.653 0.000 1
```



- The highest ΔE_f (raw) belongs to which entry?
  LiZn2SbS4